[1]
LiSnP4O12, relaxed, DFT PBE; volume = 1070.8 Å³ per cell; excess energy over the best structure of this formula in the dataset = 0.055 eV per atom; calculated total energy = -492.45 eV for the cell shown; magnetization = 0.000 μB/atom
1.0
-5.9359 -3.8811 3.2877
5.9266 -4.4624 2.4636
1.5036 10.0372 14.5637
O P Sn Li
48 16 4 4
Cartesian
-1.7090 6.5965 16.7744
-2.5859 1.4133 8.9033
3.7749 0.9146 7.9196
-0.2297 -5.4045 5.2659
3.8866 -0.3409 10.1597
1.6534 -1.4855 4.0587
0.7413 0.6099 5.3016
-0.4650 -1.6693 5.3155
-2.2717 -2.7849 6.6396
1.7798 2.1642 13.2600
-3.5100 4.8511 15.4398
-0.4654 1.1347 13.2899
3.7642 2.8378 14.8064
3.2050 -3.2952 2.4324
0.6824 -3.9683 7.6842
-2.3600 4.5273 12.8372
5.0048 -2.6716 4.5403
1.1807 -4.4840 3.3548
-0.2867 -1.5824 7.8214
3.2818 -4.5489 4.6749
0.7577 5.3007 12.1066
1.7196 3.1927 17.7412
-2.2782 2.9670 10.8873
3.8571 -0.3527 5.7677
5.3091 -1.1224 7.8280
-0.3845 1.5175 10.1985
3.7829 -3.3102 6.7863
1.8797 1.0454 9.5173
-0.0337 -2.9118 9.9184
0.8072 1.4450 15.5376
1.9606 4.4749 14.2330
4.0824 2.2155 10.0778
4.6641 4.1783 17.0674
-2.1416 -0.2874 6.7517
0.3127 5.3084 17.5594
-0.3756 -0.3567 3.1947
1.9568 -1.9800 8.7752
-1.7899 4.0547 17.1482
-2.3941 0.4269 11.2635
0.3156 2.1118 7.8129
-2.2914 2.5230 15.2388
3.6377 3.6218 12.4323
-3.1720 -4.4197 4.5815
-3.8154 2.3302 12.8219
-0.1563 5.7180 14.5062
1.1831 3.4874 9.8100
1.8753 6.9241 13.7608
1.5226 -0.2682 13.7560
0.4948 -0.6285 4.5253
0.7486 2.1474 9.2610
0.8236 1.1477 14.0855
4.3923 -3.6937 5.4923
-1.2861 5.4801 17.6915
0.6671 -2.7170 8.4787
-3.1772 3.5234 12.1181
2.8637 3.2708 13.6775
-0.0061 -5.4724 3.7722
2.7796 -4.5488 3.1490
-2.9000 3.5968 16.0569
1.0032 5.5851 13.5404
-1.3694 -1.5772 6.6375
3.4904 0.9529 9.5001
-1.9953 1.5031 10.2894
4.6735 -0.0391 6.9626
-2.3150 -5.0316 6.5698
-1.9560 1.9524 6.8116
3.4554 4.3630 10.3176
3.8041 2.1036 16.9310
0.5263 5.2882 10.2550
0.9746 2.3356 5.9723
0.6520 -5.7038 6.9994
0.8357 1.4674 17.4032

[2]
LiSn2P3O12, relaxed, DFT PBE; volume = 956.3 Å³ per cell; excess energy over the best structure of this formula in the dataset = 0.008 eV per atom; calculated total energy = -490.44 eV for the cell shown; magnetization = 0.000 μB/atom
1.0
8.7713 0.0000 0.0000
0.0000 8.8338 0.0000
0.0000 0.0000 12.3421
O Li P Sn
48 4 12 8
Cartesian
5.9142 0.9118 4.2308
3.3666 2.9596 7.2225
2.8571 7.9220 10.4019
3.5544 1.4582 5.2369
7.2428 5.3287 4.2308
7.1428 7.5979 0.7386
7.8732 0.4224 5.7475
0.7087 0.1360 9.5397
7.1607 7.8843 8.1215
7.9834 3.7278 6.5635
5.2838 4.8393 5.7475
5.0943 4.2809 3.3686
0.8312 5.8751 5.2369
0.7879 5.1060 0.3924
0.6120 4.3499 2.7803
7.9210 2.3340 4.0192
2.5759 7.5785 5.2118
1.6106 0.9495 1.9505
0.8982 8.4115 11.9186
3.4875 3.9945 11.9186
3.7737 8.7668 2.7803
8.0226 2.0135 8.4267
3.6770 4.5529 9.5397
7.7522 1.4574 1.0514
6.9615 5.6722 11.3829
5.2169 7.3756 11.4079
3.6369 2.4034 2.2556
7.9401 2.9587 11.4079
5.1735 8.1447 6.5635
2.7750 5.3664 1.9505
5.1344 6.4304 8.4267
5.4047 5.8743 1.0514
4.9976 0.0670 8.9514
1.6285 1.2359 6.9097
1.5285 3.5051 10.4019
5.2360 6.7509 4.0192
2.7571 5.6528 6.9097
0.8503 6.4998 10.1902
1.0191 7.3765 7.2225
1.8098 3.1616 5.2118
3.5353 2.0829 10.1902
6.1954 1.2553 11.3829
8.1593 4.4840 8.9514
8.0626 8.6978 3.3686
0.7487 6.8203 2.2556
5.9963 3.4674 8.1215
6.0142 3.1810 0.7386
3.5978 0.6891 0.3924
8.4743 6.8971 3.9717
4.0886 6.3536 10.1428
4.6827 2.4802 3.9717
0.2970 1.9367 10.1428
5.6202 7.8632 7.9986
1.8393 6.6159 6.1698
6.2250 6.6349 12.3408
2.5463 2.1989 6.1698
6.9320 2.2180 12.3408
1.2345 5.3875 1.8275
1.3067 7.9222 10.5277
3.1512 0.9706 1.8275
3.0789 3.5052 10.5277
5.6924 5.3286 4.3566
7.5368 3.4463 7.9986
7.4646 0.9117 4.3566
0.0301 8.6001 1.4113
4.4157 4.6507 7.5823
4.3355 8.4395 4.7281
4.4358 0.3943 10.8992
0.0502 4.0226 4.7281
4.3556 4.1831 1.4113
8.7412 0.2338 7.5823
8.7211 4.8112 10.8992

[3]
Li3Sn2P3O12, relaxed, DFT PBE; volume = 1034.2 Å³ per cell; excess energy over the best structure of this formula in the dataset = 0.042 eV per atom; calculated total energy = -522.38 eV for the cell shown; magnetization = 0.000 μB/atom
1.0
-1.9791 3.0587 8.4161
-8.2161 -4.0777 -0.4501
4.8295 -10.2531 4.7304
Li O P Sn
12 48 12 8
Cartesian
-2.6829 -5.6361 6.3482
2.4148 -5.1265 2.3652
-3.0862 -2.6738 5.2096
-3.2468 -11.0989 3.1715
-5.0976 -0.5095 3.9830
-2.2795 -8.5983 7.4867
-0.1996 -4.9705 8.7682
0.0000 0.0000 0.0000
1.9651 -9.0873 6.5517
-0.1398 -3.2319 1.1088
-7.3308 -2.1848 6.1446
-5.1662 -6.3016 3.9281
-0.9840 -6.5084 7.5878
-4.9743 -6.0121 2.0662
-4.3817 -4.7637 5.1086
-4.4801 -11.4702 7.8559
-6.6378 -4.2828 6.2859
-2.9856 -2.7710 7.1455
-6.3897 -6.5972 8.2557
-7.2625 -5.3703 0.9512
-1.7517 -0.4469 2.2022
0.1683 -8.8305 7.5907
-6.4043 -4.4742 3.7569
-5.5340 -2.4416 5.1056
-2.0694 -10.8067 7.1427
-2.4325 -8.8215 9.4087
0.4854 -2.6808 5.8950
-7.1488 -2.2887 8.0270
-3.0917 -13.0426 6.4480
2.7459 -6.7281 3.7324
-2.7499 -4.5635 8.8360
-2.2740 1.7705 6.2483
-2.6158 -6.7086 3.8603
-6.1277 0.0851 6.4181
-0.0248 -2.6351 3.4512
1.0239 -4.6749 4.4406
-0.3915 -5.2600 10.6301
-3.3307 -8.7152 11.8105
-1.4277 -4.1632 4.9449
-2.9332 -2.4506 3.2876
0.7620 -11.3572 6.2782
-3.2963 -0.4654 5.5536
-4.5868 -8.1790 4.2798
1.8968 -5.9018 11.7451
1.2721 -6.9893 6.4104
-8.1116 -4.5440 8.9639
-0.7789 -3.0931 8.4165
-3.9956 -10.9308 5.4666
-3.6140 -10.8252 10.4941
1.0385 -6.7979 8.9394
-0.8857 0.1981 4.8404
-2.6248 -9.1746 3.0864
-3.9381 -7.1089 7.7514
-5.8511 -8.5913 6.8013
-2.0350 -2.5569 0.8858
-2.3802 -8.5011 5.5508
1.7830 -8.9834 4.6693
-1.3702 -0.3413 7.2297
-2.7410 -2.0975 9.6099
-5.3410 -8.6370 9.2451
-2.0018 0.2615 5.9172
-3.3639 -11.5336 6.7791
-2.7211 -1.7014 1.9728
-5.8002 -6.0412 0.7987
-5.3252 -7.7130 7.9680
-5.6970 -3.9695 5.0666
-2.9875 -8.1587 4.1911
-0.0405 -3.5591 4.7283
-2.6446 -9.5707 10.7235
0.3312 -7.3026 7.6297
2.4136 -8.2896 3.4816
-2.3782 -3.1134 8.5052
-0.5740 -10.1331 5.1076
0.3267 -1.5499 7.5997
-2.6828 -6.4173 9.9371
-5.4328 -10.7334 9.5171
0.0671 -0.5387 3.1792
-5.6925 -9.7222 5.0966
-2.6830 -4.8548 2.7592
-4.7917 -1.1390 7.5887

[4]
LiSnPO4, relaxed, DFT PBE; volume = 403.7 Å³ per cell; calculated total energy = -181.43 eV for the cell shown; magnetization = 0.000 μB/atom
1.0
5.3695 -0.0052 0.1055
1.4243 7.2992 0.2116
1.9644 2.9307 10.4114
P Li O Sn
4 4 16 4
Cartesian
2.8412 3.8735 4.0529
5.9170 6.3512 6.6756
7.2039 8.7495 10.1686
1.5543 1.4752 0.5599
5.5563 4.6345 9.3549
3.2019 5.5902 1.3735
5.9537 4.1444 2.2477
2.8044 6.0803 8.4808
5.7081 5.4239 5.4280
2.3916 4.6352 2.8088
4.5023 7.0360 6.9051
3.0227 1.8156 0.9846
1.7820 2.7933 4.4441
5.8742 2.4319 1.3262
5.2433 5.7172 1.3028
5.7354 8.4091 9.7439
4.2558 3.1887 3.8234
2.8840 7.7928 9.4023
3.0501 4.8008 5.3005
3.5149 4.5075 9.4257
6.2356 2.8454 9.4461
2.5225 7.3794 1.2824
6.9762 7.4314 6.2844
6.3665 5.5896 7.9197
4.2374 9.3398 8.4445
4.5207 0.8849 2.2839
5.3941 3.2937 5.7544
3.3641 6.9310 4.9741

[5]
LiSnP4O12, relaxed, DFT PBE; volume = 481.9 Å³ per cell; excess energy over the best structure of this formula in the dataset = 0.011 eV per atom; calculated total energy = -247.82 eV for the cell shown; magnetization = 0.000 μB/atom
1.0
7.4560 -0.0629 0.0894
-2.4957 7.0256 -0.0848
3.4980 2.7507 9.2482
O P Li Sn
24 8 2 2
Cartesian
5.2663 2.9391 5.2143
1.7790 5.0330 7.3085
3.6668 6.5492 0.9223
3.0178 7.0086 3.6582
5.1573 2.2532 1.7600
5.0785 3.0702 8.6979
2.9709 1.9863 0.6721
2.9890 2.1564 3.2269
8.0324 7.3141 8.7438
2.0510 4.9765 4.7033
0.8569 7.1799 5.0837
3.5026 4.1864 1.8022
6.3889 4.7990 3.9950
5.5599 7.7241 9.1230
0.3763 2.1070 0.8588
7.3498 2.3861 3.8057
0.8383 6.0833 2.7762
3.4763 7.3216 7.8354
5.9269 6.9530 2.9079
5.7028 7.4862 6.5178
5.1566 5.4784 7.9808
2.3521 2.8757 5.9904
-0.9127 4.9358 1.3505
7.5168 3.7977 5.9338
3.5373 5.0987 0.4638
3.6599 2.5778 1.9941
6.5882 3.3870 4.7203
-0.7333 5.7067 2.5838
5.0699 4.4654 9.1932
4.9521 7.0897 7.7253
1.6501 4.1943 6.1007
1.6885 6.4127 4.1154
6.7554 8.3090 4.8443
2.2114 6.2932 8.9824
1.7566 8.7383 6.8703
6.7079 0.9750 2.3762

[6]
Li3Sn2P3O12, relaxed, DFT PBE; volume = 479.0 Å³ per cell; excess energy over the best structure of this formula in the dataset = 0.056 eV per atom; calculated total energy = -260.65 eV for the cell shown; magnetization = 0.000 μB/atom
1.0
-2.6905 4.2749 -0.1400
-4.3627 -0.4464 -2.5102
-9.4304 -5.3650 17.3404
O P Sn Li
24 6 4 6
Cartesian
-5.2680 1.4735 3.6906
-12.9668 -1.4071 11.9513
-6.0190 -0.6470 2.6261
-8.7741 0.9807 4.2368
-8.5088 -0.3045 9.5075
-12.1025 -4.0929 13.6842
-9.6207 -3.4932 13.7460
-4.3812 2.5564 1.0059
-7.7096 -2.5172 10.4534
-9.2568 -2.4167 8.4471
-4.7482 -0.7592 4.8623
-5.5675 2.5847 -1.2208
-7.2268 0.8802 6.2430
-6.8343 -1.6818 8.1719
-7.9749 -1.2320 5.1827
-11.7355 -0.7773 9.8279
-3.5169 -0.1294 2.7389
-10.9162 -4.1212 15.9110
-6.8629 1.9567 0.9442
-10.4647 -0.8895 12.0641
-5.1575 0.3644 -0.0944
-11.2157 -3.0100 10.9996
-11.3261 -1.9009 14.7846
-9.6494 0.1453 6.5183
-11.6381 -1.4763 11.1515
-8.4616 0.2207 5.5301
-8.0221 -1.7572 9.1600
-10.9600 -3.4299 14.5649
-5.5237 1.8934 0.1253
-4.8456 -0.0602 3.5386
0.0000 0.0000 0.0000
-4.7152 -2.6825 8.6702
-8.7332 2.8436 0.4969
-7.7504 -4.3801 14.1933
-6.2371 -0.9368 6.2665
-9.1978 -2.5983 11.6650
-10.3185 1.9437 3.4080
-6.1652 -3.4802 11.2822
-10.2466 -0.5997 8.4237
-7.2858 1.0618 3.0252

[7]
Li3Sn2P3O12, relaxed, DFT PBE; volume = 1025.1 Å³ per cell; excess energy over the best structure of this formula in the dataset = 0.000 eV per atom; calculated total energy = -525.77 eV for the cell shown; magnetization = 0.000 μB/atom
1.0
8.7453 0.0000 -0.0114
0.0000 8.9095 0.0000
-0.3777 0.0000 13.1574
O Li P Sn
48 12 12 8
Cartesian
7.8125 4.9593 11.0383
3.2919 4.3914 2.9488
1.4900 0.1338 1.2591
6.7958 1.4378 7.2134
2.6938 4.5886 5.3139
1.5718 7.4717 5.9326
8.2140 7.7579 7.3257
3.2006 1.1332 12.4642
0.6054 5.5880 7.2662
5.1670 7.7763 0.6818
0.8919 8.8461 3.6242
0.8477 6.5368 10.3903
4.3375 3.3032 12.3932
7.7622 3.3215 5.8798
4.7903 1.9401 1.4203
5.4093 6.8275 3.8059
0.1221 1.3392 11.1884
0.5551 3.9502 2.1077
0.2288 2.5147 8.0047
5.7556 5.8925 12.5056
6.8871 4.8106 2.3892
6.8776 8.7757 11.8869
2.6120 3.0170 0.6404
6.0421 0.3558 4.1724
4.0302 5.6063 0.7527
2.9584 2.0821 9.3401
4.6836 3.1155 4.6040
0.8305 5.6204 12.7453
7.5371 3.2891 0.4007
8.1389 6.3948 5.1413
4.7389 0.5045 8.6807
3.5773 6.9694 11.7257
5.6738 4.3209 7.8321
0.1536 1.1516 5.8202
1.8462 6.7477 2.4452
6.0300 6.6165 9.0182
1.4805 4.0989 10.7568
2.3376 2.2930 4.1278
3.6840 5.7940 8.5420
6.5214 2.1618 10.7008
2.3256 8.5537 8.9736
5.0757 4.5181 10.1971
3.6287 8.4050 4.4653
5.3920 7.7439 6.1609
8.2455 7.5703 1.9576
2.9756 1.1656 6.9851
7.5199 2.3727 2.7557
7.4757 0.0634 9.5218
0.4876 7.9152 9.0590
3.3184 3.4605 10.6714
6.7999 6.9042 10.9938
1.5677 2.0053 2.1522
5.0492 5.4490 2.4746
0.9933 2.4418 9.8194
5.5549 2.0129 3.2350
2.8128 6.8966 9.9110
2.6161 6.4601 4.4208
5.7515 2.4494 8.7252
7.3743 6.4677 3.3266
7.8800 0.9943 4.0870
3.9573 2.3175 0.2072
7.7533 3.6443 1.9343
0.2265 6.7722 6.3658
8.1411 2.1373 6.7802
3.2547 3.5713 4.2880
0.9291 8.0260 2.2850
7.4385 0.8835 10.8609
3.1917 0.8104 8.5187
4.4103 6.5920 12.9388
5.1759 8.0991 4.6272
5.1129 5.3382 8.8580
0.6144 5.2652 11.2116
2.1395 4.9563 1.2695
1.6349 8.6336 12.2342
6.1965 4.7307 5.6498
6.7327 0.2759 0.9118
6.2281 3.9532 11.8765
2.0443 0.5016 5.3035
6.3233 8.4079 7.8425
2.1712 4.1788 7.4962

Going through the records in order, we get formation energy without anion corrections values of -2.00 -2.05 -2.06 -2.03 -2.05 -2.04 -2.10 eV per atom.